Entry from Alexandria via LeMat-Bulk: a geometry-optimized Th8Te4Ru3Se structure (PBE-GGA).

As for the uncorrected formation energy: -975 meV per atom. Its total magnetization is 0.000 μB per formula unit.

Unit cell a=8.4611 b=8.4611 c=22.6853 alpha=90.00 beta=90.00 gamma=120.00
Closest atoms and distances in Å follow each position.
Space group R-3m (No. 166, hexagonal axes)
Inequivalent atoms, fractional coordinates:
Th 0.0000 0.0000 0.2329 (multiplicity 6)  3 Ru 2.87
Th 0.0165 0.5082 0.7640 (multiplicity 18)  2 Ru 2.86, 1 Se 3.01
Te 0.0000 0.0000 0.0000 (multiplicity 3)  6 Th 3.20
Te 0.0000 0.5000 0.0000 (multiplicity 9)  6 Th 3.34
Ru 0.0000 0.5000 0.5000 (multiplicity 9)  6 Th 2.86-2.87
Se 0.0000 0.0000 0.5000 (multiplicity 3)  6 Th 3.01